Compound: NdTm2PaS4
Source: Alexandria
Functional: PBE-GGA
Structure: relaxed

Summary:
raw formation energy	-1.853	eV/atom
energy	-6.818	eV per atom
space-group type	P2/m (10)
size of the total moment	0.0	μB per cell

abc: 3.851 6.888 6.722
angles: 71.34 90.00 90.00
Sites, in units of the cell vectors:
1 Nd 0.500 0.500 0.000
2 Pa 0.000 0.500 0.500
3 S 0.500 0.237 0.750
4 S 0.000 0.766 0.739
5 S 0.500 0.763 0.250
6 S 0.000 0.234 0.261
7 Tm 0.500 0.000 0.500
8 Tm 0.000 0.000 0.000